Record 1
Computed, not measured: crystalline Pa2BiAu at its relaxed geometry at the PBE level of DFT.

## Properties
Total magnetic moment: 4.4 μB per formula unit
Energy of formation: 0.02 eV per atom
DOS at the Fermi energy: 12.5 states/eV per cell
E_tot: -6.521 eV/atom
Relative energy among the computed polymorphs: 123 meV/atom

Unit cell a=5.3140 b=5.3140 c=5.3140 alpha=60.00 beta=60.00 gamma=60.00
With the nearest neighbours (Å) after each atom.
Fractional positions:
Pa1 0.2500 0.2500 0.2500  4 Bi 3.25, 4 Au 3.25
Pa2 0.7500 0.7500 0.7500  4 Bi 3.25, 4 Au 3.25
Bi1 0.0000 0.0000 0.0000  8 Pa 3.25
Au1 0.5000 0.5000 0.5000  8 Pa 3.25

---

Record 2
Computed, not measured: crystalline PaBi2Au at its relaxed geometry at the PBE level of DFT.

## Properties
Total magnetic moment: 0.0 μB per formula unit
Energy of formation: -0.01 eV per atom
DOS at the Fermi energy: 4.5 states/eV per cell
E_tot: -5.148 eV/atom

Unit cell a=4.1114 b=4.1114 c=6.4330 alpha=90.00 beta=90.00 gamma=90.00
With the nearest neighbours (Å) after each atom.
Fractional positions:
Pa1 0.0000 0.0000 0.0000  2 Au 3.22, 8 Bi 3.31
Bi1 0.5000 0.5000 0.2458  2 Bi 3.16-3.27, 4 Pa 3.31, 4 Au 3.34
Bi2 0.5000 0.5000 0.7542  2 Bi 3.16-3.27, 4 Pa 3.31, 4 Au 3.34
Au1 0.0000 0.0000 0.5000  2 Pa 3.22, 8 Bi 3.34

---

Record 3
Computed, not measured: crystalline Pa2Bi3Au at its relaxed geometry at the PBE level of DFT.

## Properties
Total magnetic moment: 0.8 μB per formula unit
Energy of formation: -0.21 eV per atom
DOS at the Fermi energy: 7.1 states/eV per cell
E_tot: -5.861 eV/atom

Unit cell a=4.4111 b=4.4111 c=8.7051 alpha=90.00 beta=90.00 gamma=90.00
With the nearest neighbours (Å) after each atom.
Fractional positions:
Pa1 0.0000 0.5000 0.2317  7 Bi 3.21-3.27, 2 Au 3.21
Pa2 0.5000 0.0000 0.7683  7 Bi 3.21-3.27, 2 Au 3.21
Bi1 0.0000 0.5000 0.8560  5 Pa 3.21-3.27
Bi2 0.5000 0.0000 0.1440  5 Pa 3.21-3.27
Bi3 0.5000 0.5000 0.5000  4 Au 3.12, 4 Pa 3.21
Au1 0.0000 0.0000 0.5000  4 Bi 3.12, 4 Pa 3.21

---

Record 4
Computed, not measured: crystalline PaBiAu at its relaxed geometry at the PBE level of DFT.

## Properties
Total magnetic moment: 1.4 μB per formula unit
Energy of formation: -0.14 eV per atom
DOS at the Fermi energy: 10.5 states/eV per cell
E_tot: -5.692 eV/atom

Unit cell a=7.8470 b=7.8470 c=4.7172 alpha=90.00 beta=90.00 gamma=147.61
With the nearest neighbours (Å) after each atom.
Fractional positions:
Pa1 0.0827 0.9173 0.7500  6 Au 3.06-3.24, 4 Bi 3.38-3.41
Pa2 0.9173 0.0827 0.2500  6 Au 3.06-3.24, 4 Bi 3.38-3.41
Bi1 0.2436 0.7564 0.2500  4 Bi 3.22, 4 Pa 3.38-3.41, 2 Au 3.54
Bi2 0.7564 0.2436 0.7500  4 Bi 3.22, 4 Pa 3.38-3.41, 2 Au 3.54
Au1 0.4411 0.5589 0.7500  2 Au 2.95, 6 Pa 3.06-3.24
Au2 0.5589 0.4411 0.2500  2 Au 2.95, 6 Pa 3.06-3.24

---

Record 5
Computed, not measured: crystalline PmPaBiAu at its relaxed geometry at the PBE level of DFT.

## Properties
Total magnetic moment: 3.1 μB per formula unit
Energy of formation: -0.30 eV per atom
DOS at the Fermi energy: 8.9 states/eV per cell
E_tot: -5.648 eV/atom

Unit cell a=5.3660 b=5.3660 c=5.3660 alpha=60.00 beta=60.00 gamma=60.00
With the nearest neighbours (Å) after each atom.
Fractional positions:
Pm1 0.0000 0.0000 0.0000  4 Au 3.29, 4 Bi 3.29
Pa1 0.5000 0.5000 0.5000  4 Bi 3.29, 4 Au 3.29
Bi1 0.2500 0.2500 0.2500  4 Pa 3.29, 4 Pm 3.29
Au1 0.7500 0.7500 0.7500  4 Pa 3.29, 4 Pm 3.29

---

Record 6
Computed, not measured: crystalline PrPaBiAu at its relaxed geometry at the PBE level of DFT.

## Properties
Total magnetic moment: 3.1 μB per formula unit
Energy of formation: -0.29 eV per atom
DOS at the Fermi energy: 8.8 states/eV per cell
E_tot: -5.647 eV/atom

Unit cell a=5.4032 b=5.4032 c=5.4032 alpha=60.00 beta=60.00 gamma=60.00
With the nearest neighbours (Å) after each atom.
Fractional positions:
Pr1 0.0000 0.0000 0.0000  4 Bi 3.31, 4 Au 3.31
Pa1 0.5000 0.5000 0.5000  4 Bi 3.31, 4 Au 3.31
Bi1 0.2500 0.2500 0.2500  4 Pa 3.31, 4 Pr 3.31
Au1 0.7500 0.7500 0.7500  4 Pr 3.31, 4 Pa 3.31

---

Record 7
Computed, not measured: crystalline PaBiRhAu at its relaxed geometry at the PBE level of DFT.

## Properties
Total magnetic moment: 0.0 μB per formula unit
Energy of formation: -0.35 eV per atom
DOS at the Fermi energy: 1.8 states/eV per cell
E_tot: -6.349 eV/atom

Unit cell a=4.9733 b=4.9733 c=4.9733 alpha=60.00 beta=60.00 gamma=60.00
With the nearest neighbours (Å) after each atom.
Fractional positions:
Pa1 0.0000 0.0000 0.0000  4 Rh 3.05, 4 Au 3.05
Bi1 0.5000 0.5000 0.5000  4 Rh 3.05, 4 Au 3.05
Rh1 0.7500 0.7500 0.7500  4 Bi 3.05, 4 Pa 3.05
Au1 0.2500 0.2500 0.2500  4 Bi 3.05, 4 Pa 3.05

---

Record 8
Computed, not measured: crystalline ThPaBiAu at its relaxed geometry at the PBE level of DFT.

## Properties
Total magnetic moment: 2.0 μB per formula unit
Energy of formation: -0.19 eV per atom
DOS at the Fermi energy: 9.2 states/eV per cell
E_tot: -6.204 eV/atom

Unit cell a=5.3681 b=5.3681 c=5.3681 alpha=60.00 beta=60.00 gamma=60.00
With the nearest neighbours (Å) after each atom.
Fractional positions:
Th1 0.0000 0.0000 0.0000  4 Au 3.29, 4 Bi 3.29
Pa1 0.5000 0.5000 0.5000  4 Bi 3.29, 4 Au 3.29
Bi1 0.7500 0.7500 0.7500  4 Th 3.29, 4 Pa 3.29
Au1 0.2500 0.2500 0.2500  4 Pa 3.29, 4 Th 3.29

---

Record 9
Computed, not measured: crystalline BiPbAu at its relaxed geometry at the PBE level of DFT.

## Properties
Total magnetic moment: 0.0 μB per formula unit
Energy of formation: -0.05 eV per atom
DOS at the Fermi energy: 3.3 states/eV per cell
E_tot: -3.671 eV/atom
Relative energy among the computed polymorphs: 29 meV/atom

Unit cell a=4.3984 b=5.7011 c=7.3548 alpha=72.66 beta=89.79 gamma=89.50
With the nearest neighbours (Å) after each atom.
Fractional positions:
Bi1 0.2487 0.2268 0.0648  4 Au 2.92-3.05
Bi2 0.7513 0.7732 0.9352  4 Au 2.92-3.05
Pb1 0.2521 0.2308 0.5534  3 Au 2.97
Pb2 0.7479 0.7692 0.4466  3 Au 2.97
Au1 0.2511 0.6676 0.2093  4 Bi 2.92-3.05, 3 Pb 2.97
Au2 0.7489 0.3324 0.7907  4 Bi 2.92-3.05, 3 Pb 2.97

---

Record 10
Computed, not measured: crystalline Bi2Pb6Au at its relaxed geometry at the PBE level of DFT.

## Properties
Total magnetic moment: 0.0 μB per formula unit
Energy of formation: -0.01 eV per atom
DOS at the Fermi energy: 4.6 states/eV per cell
E_tot: -3.709 eV/atom
Relative energy among the computed polymorphs: 0 meV/atom

Unit cell a=4.4361 b=8.5438 c=8.5438 alpha=119.93 beta=90.00 gamma=90.00
With the nearest neighbours (Å) after each atom.
Fractional positions:
Bi1 0.0000 0.1662 0.8338  9 Pb 3.30-3.48
Bi2 0.0000 0.8338 0.1662  9 Pb 3.30-3.48
Pb1 0.0000 0.2570 0.5005  2 Au 3.04, 2 Bi 3.30-3.31
Pb2 0.0000 0.5005 0.2570  2 Au 3.04, 2 Bi 3.30-3.31
Pb3 0.0000 0.7421 0.7421  2 Au 3.04, 2 Bi 3.30
Pb4 0.5000 0.1215 0.1215  1 Au 3.23, 4 Bi 3.47, 4 Pb 3.61
Pb5 0.5000 0.4997 0.8793  1 Au 3.24, 4 Bi 3.48, 4 Pb 3.61
Pb6 0.5000 0.8793 0.4997  1 Au 3.24, 4 Bi 3.48, 4 Pb 3.61
Au1 0.5000 0.4995 0.4995  9 Pb 3.04-3.24

---

Record 11
Computed, not measured: crystalline BiPb5Au3 at its relaxed geometry at the PBE level of DFT.

## Properties
Total magnetic moment: 0.0 μB per formula unit
Energy of formation: 0.08 eV per atom
DOS at the Fermi energy: 8.6 states/eV per cell
E_tot: -3.506 eV/atom

Unit cell a=8.0480 b=8.0480 c=10.2572 alpha=107.55 beta=107.55 gamma=70.64
With the nearest neighbours (Å) after each atom.
Fractional positions:
Bi1 0.1038 0.1038 0.3000  3 Au 2.85-2.96
Bi2 0.8962 0.8962 0.7000  3 Au 2.85-2.96
Pb1 0.0109 0.6073 0.3810  3 Au 2.88-3.01
Pb2 0.2309 0.2309 0.0338  3 Au 2.80-2.92
Pb3 0.3051 0.6949 0.0000  3 Au 2.84-2.91
Pb4 0.3927 0.9891 0.6190  3 Au 2.88-3.01
Pb5 0.4412 0.4412 0.6399  3 Au 2.82-2.98
Pb6 0.5588 0.5588 0.3601  3 Au 2.82-2.98
Pb7 0.6073 0.0109 0.3810  3 Au 2.88-3.01
Pb8 0.6949 0.3051 0.0000  3 Au 2.84-2.91
Pb9 0.7691 0.7691 0.9662  3 Au 2.80-2.92
Pb10 0.9891 0.3927 0.6190  3 Au 2.88-3.01
Au1 0.0000 0.0000 0.0000  4 Pb 2.84-2.92, 2 Bi 2.87
Au2 0.0000 0.0000 0.5000  2 Bi 2.85, 4 Pb 3.01
Au3 0.3276 0.3276 0.8323  6 Pb 2.80-2.94
Au4 0.3365 0.3365 0.3283  5 Pb 2.82-2.98, 1 Bi 2.96
Au5 0.6635 0.6635 0.6717  5 Pb 2.82-2.98, 1 Bi 2.96
Au6 0.6724 0.6724 0.1677  6 Pb 2.80-2.94

---

Record 12
Computed, not measured: crystalline BiPb2Au at its relaxed geometry at the PBE level of DFT.

## Properties
Total magnetic moment: 0.0 μB per formula unit
Energy of formation: -0.03 eV per atom
DOS at the Fermi energy: 8.7 states/eV per cell
E_tot: -3.677 eV/atom

Unit cell a=7.1519 b=9.3744 c=6.8751 alpha=90.00 beta=90.00 gamma=90.00
With the nearest neighbours (Å) after each atom.
Fractional positions:
Bi1 0.0171 0.2500 0.1081  2 Au 2.95-3.00
Bi2 0.4829 0.7500 0.6081  2 Au 2.95-3.00
Bi3 0.5171 0.2500 0.3919  2 Au 2.95-3.00
Bi4 0.9829 0.7500 0.8919  2 Au 2.95-3.00
Pb1 0.1879 0.5566 0.3360  3 Au 3.03-3.20, 1 Bi 3.35
Pb2 0.1879 0.9434 0.3360  3 Au 3.03-3.20, 1 Bi 3.35
Pb3 0.3121 0.0566 0.8360  3 Au 3.03-3.20, 1 Bi 3.35
Pb4 0.3121 0.4434 0.8360  3 Au 3.03-3.20, 1 Bi 3.35
Pb5 0.6879 0.5566 0.1640  3 Au 3.03-3.20, 1 Bi 3.35
Pb6 0.6879 0.9434 0.1640  3 Au 3.03-3.20, 1 Bi 3.35
Pb7 0.8121 0.0566 0.6640  3 Au 3.03-3.20, 1 Bi 3.35
Pb8 0.8121 0.4434 0.6640  3 Au 3.03-3.20, 1 Bi 3.35
Au1 0.1263 0.2500 0.5292  2 Bi 2.95-3.00, 6 Pb 3.03-3.20
Au2 0.3737 0.7500 0.0292  2 Bi 2.95-3.00, 6 Pb 3.03-3.20
Au3 0.6264 0.2500 0.9708  2 Bi 2.95-3.00, 6 Pb 3.03-3.20
Au4 0.8736 0.7500 0.4708  2 Bi 2.95-3.00, 6 Pb 3.03-3.20